Record 1
A geometry-optimized NaDySnAu structure, computed with PBE.

Summary:
* formation energy: -0.50 eV/atom
* DOS(E_F): 2.58 states/eV/f.u.
* space-group type: No. 216
* M_tot: 0.000 Bohr magnetons per cell

Lattice parameters (Å, degrees): 5.1280 5.1280 5.1280 60.00 60.00 60.00
Closest atoms and distances in Å follow each position.
Sites, in units of the cell vectors:
1 Na 0.0000 0.0000 0.0000  4 Sn 3.14, 4 Au 3.14
2 Dy 0.5000 0.5000 0.5000  4 Sn 3.14, 4 Au 3.14
3 Sn 0.7500 0.7500 0.7500  4 Dy 3.14, 4 Na 3.14
4 Au 0.2500 0.2500 0.2500  4 Dy 3.14, 4 Na 3.14



Record 2
A geometry-optimized NaDyTe2Au structure, computed with PBE.

Summary:
* formation energy from raw total energies: -0.81 eV per atom
* DOS(E_F): 2.85 states/eV/f.u.
* space-group type: No. 13
* M_tot: 0.000 Bohr magnetons per cell

Lattice parameters (Å, degrees): 7.7948 4.8282 8.0844 90.00 96.45 90.00
Closest atoms and distances in Å follow each position.
Sites, in units of the cell vectors:
1 Na 0.0000 0.1149 0.2500  6 Te 3.15-3.49
2 Na 0.0000 0.8851 0.7500  6 Te 3.15-3.49
3 Dy 0.5000 0.4975 0.7500  4 Te 3.07-3.10, 4 Au 3.14-3.16
4 Dy 0.5000 0.5025 0.2500  4 Te 3.07-3.10, 4 Au 3.14-3.16
5 Te 0.2148 0.3432 0.9723  1 Au 2.76, 1 Dy 3.07
6 Te 0.2148 0.6568 0.4723  1 Au 2.76, 1 Dy 3.07
7 Te 0.7852 0.3432 0.5277  1 Au 2.76, 1 Dy 3.07
8 Te 0.7852 0.6568 0.0277  1 Au 2.76, 1 Dy 3.07
9 Au 0.5000 0.0000 0.0000  2 Te 2.76
10 Au 0.5000 0.0000 0.5000  2 Te 2.76



Record 3
A geometry-optimized NaDyTlAu structure, computed with PBE.

Summary:
* formation energy: -0.36 eV/atom
* DOS(E_F): 1.82 states/eV/f.u.
* space-group type: No. 216
* M_tot: 0.000 Bohr magnetons per cell

Lattice parameters (Å, degrees): 5.1308 5.1308 5.1308 60.00 60.00 60.00
Closest atoms and distances in Å follow each position.
Sites, in units of the cell vectors:
1 Na 0.0000 0.0000 0.0000  4 Au 3.14, 4 Tl 3.14
2 Dy 0.5000 0.5000 0.5000  4 Au 3.14, 4 Tl 3.14
3 Tl 0.2500 0.2500 0.2500  4 Dy 3.14, 4 Na 3.14
4 Au 0.7500 0.7500 0.7500  4 Na 3.14, 4 Dy 3.14